Entry 1:
Compound: Pa4Si8Pd
Source: Alexandria via LeMat-Bulk
Functional: GGA-PBE
Structure: optimized geometry

## Properties
* space group: Pmm2, No. 25
* uncorrected energy: -7.114 eV/atom

Cell: 3.919 3.995 16.141 Å, 90.00 90.00 90.00°
Sites, in units of the cell vectors:
Pa  0.000  0.000  0.000
Pa  0.000  0.500  0.483
Pa  0.500  0.000  0.206
Pa  0.500  0.500  0.691
Si  0.000  0.000  0.345
Si  0.000  0.000  0.631
Si  0.000  0.500  0.147
Si  0.000  0.500  0.826
Si  0.500  0.000  0.542
Si  0.500  0.000  0.827
Si  0.500  0.500  0.064
Si  0.500  0.500  0.345
Pd  0.500  0.500  0.914

---

Entry 2:
Compound: Pa3Si2Pd5
Source: Alexandria via LeMat-Bulk
Functional: GGA-PBE
Structure: optimized geometry

## Properties
* space group: Ibam, No. 72
* uncorrected energy: -6.956 eV/atom

Cell: 8.772 8.772 8.772 Å, 98.83 93.59 141.62°
Sites, in units of the cell vectors:
Pa  0.206  0.612  0.818
Pa  0.250  0.250  0.000
Pa  0.294  0.112  0.407
Pa  0.706  0.888  0.593
Pa  0.750  0.750  0.000
Pa  0.794  0.388  0.182
Si  0.160  0.870  0.030
Si  0.340  0.370  0.709
Si  0.660  0.630  0.291
Si  0.840  0.130  0.970
Pd  0.148  0.360  0.508
Pd  0.250  0.013  0.763
Pd  0.250  0.487  0.237
Pd  0.250  0.750  0.500
Pd  0.352  0.860  0.212
Pd  0.648  0.140  0.788
Pd  0.750  0.250  0.500
Pd  0.750  0.513  0.763
Pd  0.750  0.987  0.237
Pd  0.852  0.640  0.492

---

Entry 3:
Compound: PaSi4Pd8
Source: Alexandria via LeMat-Bulk
Functional: GGA-PBE
Structure: optimized geometry

## Properties
* space group: I4/mmm, No. 139
* uncorrected energy: -6.191 eV/atom

Cell: 6.712 6.712 6.712 Å, 98.99 98.99 133.42°
Sites, in units of the cell vectors:
Pa  0.000  0.000  0.000
Si  0.000  0.000  0.500
Si  0.000  0.500  0.000
Si  0.500  0.000  0.000
Si  0.500  0.500  0.500
Pd  0.000  0.325  0.325
Pd  0.000  0.675  0.675
Pd  0.277  0.500  0.777
Pd  0.325  0.000  0.325
Pd  0.500  0.277  0.777
Pd  0.500  0.723  0.223
Pd  0.675  0.000  0.675
Pd  0.723  0.500  0.223

---

Entry 4:
Compound: PaSi2Pd4
Source: Alexandria via LeMat-Bulk
Functional: GGA-PBE
Structure: optimized geometry

## Properties
* space group: P4_2/mnm, No. 136
* uncorrected energy: -6.571 eV/atom

Cell: 7.968 7.968 3.666 Å, 90.00 90.00 90.00°
Sites, in units of the cell vectors:
Pa  0.000  0.000  0.000
Pa  0.500  0.500  0.500
Si  0.218  0.218  0.500
Si  0.282  0.718  0.000
Si  0.718  0.282  0.000
Si  0.782  0.782  0.500
Pd  0.079  0.679  0.500
Pd  0.179  0.421  0.000
Pd  0.321  0.921  0.500
Pd  0.421  0.179  0.000
Pd  0.579  0.821  0.000
Pd  0.679  0.079  0.500
Pd  0.821  0.579  0.000
Pd  0.921  0.321  0.500